Entry from OQMD via LeMat-Bulk: crystalline RbTaBr4Cl2 at its relaxed geometry (PBE).

Calculated values
magnetic moment	0.72	Bohr magnetons per cell
SG	C2/m
final energy	-3.43	eV/atom
energy relative to the lowest polymorph listed for this composition	0	meV/atom
V	47.72	A^3/atom

Unit cell a=15.9100 b=15.9100 c=9.3841 alpha=90.49 beta=90.49 gamma=161.22
With the nearest neighbours (Å) after each atom.
Atoms (fractional coordinates):
1 Cl 0.1323 0.9146 0.6696  1 Br 2.68
2 Ta 0.0000 0.5000 0.0000  2 Ta 2.60, 4 Br 2.60-2.61
3 Br 0.2815 0.6906 0.8131  2 Ta 2.60-2.61
4 Cl 0.0854 0.8677 0.3304  1 Br 2.68
5 Br 0.2694 0.4552 0.8883  1 Br 2.47, 1 Cl 2.68
6 Br 0.7185 0.3094 0.1869  2 Ta 2.60-2.61
7 Cl 0.9146 0.1323 0.6696  1 Br 2.68
8 Br 0.4552 0.2694 0.8883  1 Br 2.47, 1 Cl 2.68
9 Br 0.7306 0.5448 0.1117  1 Br 2.47, 1 Cl 2.68
10 Rb 0.4206 0.5794 0.5000  4 Cl 3.15-3.21
11 Rb 0.5794 0.4206 0.5000  4 Cl 3.15-3.21
12 Br 0.3094 0.7185 0.1869  2 Ta 2.60-2.61
13 Cl 0.8677 0.0854 0.3304  1 Br 2.68
14 Ta 0.5000 0.0000 0.0000  2 Ta 2.60, 4 Br 2.60-2.61
15 Br 0.6906 0.2815 0.8131  2 Ta 2.60-2.61
16 Br 0.5448 0.7306 0.1117  1 Br 2.47, 1 Cl 2.68

Entry from OQMD via LeMat-Bulk: crystalline ReBrCl4 at its relaxed geometry (PBE).

Calculated values
magnetic moment	3.98	Bohr magnetons per cell
SG	P-1
final energy	-4.07	eV/atom
energy relative to the lowest polymorph listed for this composition	0	meV/atom
V	27.63	A^3/atom

Unit cell a=6.2983 b=6.7994 c=9.3035 alpha=109.06 beta=91.51 gamma=116.03
With the nearest neighbours (Å) after each atom.
Atoms (fractional coordinates):
1 Cl 0.1128 0.6275 0.8564  1 Re 2.28
2 Re 0.8996 0.7943 0.7904  5 Cl 2.26-2.49, 1 Br 2.40
3 Cl 0.7001 0.9942 0.7614  1 Re 2.28
4 Cl 0.2371 0.1816 0.9581  2 Re 2.47-2.49
5 Cl 0.2999 0.0058 0.2386  1 Re 2.28
6 Cl 0.7629 0.8184 0.0419  2 Re 2.47-2.49
7 Cl 0.5706 0.4388 0.6685  1 Re 2.26
8 Br 0.0732 0.8147 0.5658  1 Re 2.40
9 Cl 0.4294 0.5612 0.3315  1 Re 2.26
10 Cl 0.8872 0.3725 0.1436  1 Re 2.28
11 Re 0.1004 0.2057 0.2096  5 Cl 2.26-2.49, 1 Br 2.40
12 Br 0.9268 0.1853 0.4342  1 Re 2.40

Q: Number 1 is which compound?
A: RbTaBr4Cl2

Q: energy relative to the lowest polymorph listed for this composition of number 1 (RbTaBr4Cl2)?
A: 0 meV/atom

What did the first record say?
Entry from OQMD via LeMat-Bulk: crystalline RbTaBr4Cl2 at its relaxed geometry (PBE).

Calculated values
magnetic moment	0.72	Bohr magnetons per cell
SG	C2/m
final energy	-3.43	eV/atom
energy relative to the lowest polymorph listed for this composition	0	meV/atom
V	47.72	A^3/atom

Unit cell a=15.9100 b=15.9100 c=9.3841 alpha=90.49 beta=90.49 gamma=161.22
With the nearest neighbours (Å) after each atom.
Atoms (fractional coordinates):
1 Cl 0.1323 0.9146 0.6696  1 Br 2.68
2 Ta 0.0000 0.5000 0.0000  2 Ta 2.60, 4 Br 2.60-2.61
3 Br 0.2815 0.6906 0.8131  2 Ta 2.60-2.61
4 Cl 0.0854 0.8677 0.3304  1 Br 2.68
5 Br 0.2694 0.4552 0.8883  1 Br 2.47, 1 Cl 2.68
6 Br 0.7185 0.3094 0.1869  2 Ta 2.60-2.61
7 Cl 0.9146 0.1323 0.6696  1 Br 2.68
8 Br 0.4552 0.2694 0.8883  1 Br 2.47, 1 Cl 2.68
9 Br 0.7306 0.5448 0.1117  1 Br 2.47, 1 Cl 2.68
10 Rb 0.4206 0.5794 0.5000  4 Cl 3.15-3.21
11 Rb 0.5794 0.4206 0.5000  4 Cl 3.15-3.21
12 Br 0.3094 0.7185 0.1869  2 Ta 2.60-2.61
13 Cl 0.8677 0.0854 0.3304  1 Br 2.68
14 Ta 0.5000 0.0000 0.0000  2 Ta 2.60, 4 Br 2.60-2.61
15 Br 0.6906 0.2815 0.8131  2 Ta 2.60-2.61
16 Br 0.5448 0.7306 0.1117  1 Br 2.47, 1 Cl 2.68